Entry 1:
Computed, not measured: an optimized crystal structure of PmDy6S8 at the GGA-PBE level of DFT.

Lattice parameters (Å, degrees): 11.0473 11.0473 11.0473 90.00 90.00 90.00
Space group Fm-3m (No. 225)
Symmetry-distinct sites (fractional):
1 Pm 0.0000 0.0000 0.0000 (multiplicity 4)
2 Dy 0.0000 0.2500 0.2500 (multiplicity 24)
3 S 0.0000 0.0000 0.2562 (multiplicity 24)
4 S 0.2500 0.2500 0.2500 (multiplicity 8)

E_form (uncorrected): -30.59 eV/f.u.
magnetic moment: 0.00 μB per formula unit
raw total energy: -383.91 eV for the cell shown

Entry 2:
Computed, not measured: an optimized crystal structure of LiY2Rh at the GGA-PBE level of DFT.

Lattice parameters (Å, degrees): 4.0164 4.0164 23.9792 90.00 90.00 120.00
Space group R3m (No. 160, hexagonal axes)
Symmetry-distinct sites (fractional):
1 Li 0.0000 0.0000 0.0000 (multiplicity 3)
2 Y 0.0000 0.0000 0.2313 (multiplicity 3)
3 Y 0.0000 0.0000 0.4411 (multiplicity 3)
4 Rh 0.0000 0.0000 0.8369 (multiplicity 3)

magnetic moment: 0.00 μB per formula unit
calculated formation energy: -0.32 eV/atom
raw total energy: -70.46 eV for the cell shown